An optimized crystal structure of Dy4SnTe5, computed with GGA-PBE.

It has space group Pmmn (No. 59, origin choice 2), with a = 9.410 Å, b = 9.916 Å, c = 7.668 Å, α = 90.00°, β = 90.00° and γ = 90.00°. The inequivalent atoms are Dy at (0.034, 0.250, 0.066), Dy at (0.250, 0.536, 0.463), Sn at (0.250, 0.750, 0.771), Te at (0.027, 0.044, 0.757) and Te at (0.250, 0.250, 0.354).

As for the raw formation energy: -965.2 meV per atom. For the density of states at the Fermi level, the calculation gives 0.360 states/eV per atom.